No. 1
K2NaPaSe4: relaxed, GGA-PBE.

Lattice parameters (Å, degrees): 7.446 4.345 7.939 90.00 107.81 90.00
Space group P2/m (No. 10)
Unique sites:
K1 0.000 0.000 0.000 [1 per cell]
K2 0.500 0.500 0.000 [1 per cell]
Na1 0.000 0.500 0.500 [1 per cell]
Pa1 0.500 0.000 0.500 [1 per cell]
Se1 0.269 0.000 0.704 [2 per cell]
Se2 0.286 0.500 0.298 [2 per cell]

Calculated values
Formation energy (no corrections)   -1.354 eV per atom
Mass density   4.4 g/cm³
Magnetization   0.00 μB/cell

---

No. 2
NbSnSb3: relaxed, GGA-PBE.

Lattice parameters (Å, degrees): 5.477 5.477 5.477 90.00 90.00 90.00
Space group Pm-3m (No. 221)
Unique sites:
Nb1 0.000 0.000 0.000 [1 per cell]
Sn1 0.500 0.500 0.500 [1 per cell]
Sb1 0.000 0.500 0.500 [3 per cell]

Calculated values
Formation energy (no corrections)   1.471 eV per atom
Mass density   5.8 g/cm³
Distance to the lowest polymorph of the same formula   1.0772 eV per atom
Magnetization   0.19 μB/cell

---

No. 3
Ho3HSe2: relaxed, GGA-PBE.

Lattice parameters (Å, degrees): 13.597 7.556 5.723 90.00 90.00 90.00
Space group Cmc2_1 (No. 36)
Unique sites:
Ho1 0.000 0.105 0.000 [4 per cell]
Ho2 0.147 0.270 0.492 [8 per cell]
H1 0.000 0.176 0.623 [4 per cell]
Se1 0.158 0.351 0.992 [8 per cell]

Calculated values
Mass density   7.4 g/cm³
Magnetization   0.08 μB/cell
Calculated total energy   -5.11 eV per atom

---

No. 4
Cd2HgAu: relaxed, GGA-PBE.

Lattice parameters (Å, degrees): 6.006 7.423 3.844 90.00 90.29 90.00
Space group C2/m (No. 12)
Unique sites:
Cd1 0.250 0.250 0.000 [4 per cell]
Hg1 0.000 0.000 0.500 [2 per cell]
Au1 0.000 0.500 0.500 [2 per cell]

Calculated values
Mass density   12.1 g/cm³
Distance to the lowest polymorph of the same formula   0.0401 eV per atom
Magnetization   0.00 μB/cell
Energy of formation   -0.042 eV/atom

---

No. 5
Pm8IrRh2: relaxed, GGA-PBE.

Lattice parameters (Å, degrees): 17.739 5.088 6.855 90.00 98.95 90.00
Space group C2/m (No. 12)
Unique sites:
Pm1 0.038 0.000 0.281 [4 per cell]
Pm2 0.086 0.500 0.926 [4 per cell]
Pm3 0.165 0.500 0.462 [4 per cell]
Pm4 0.201 0.000 0.839 [4 per cell]
Ir1 0.000 0.500 0.500 [2 per cell]
Rh1 0.209 0.000 0.242 [4 per cell]

Calculated values
Mass density   8.5 g/cm³
Distance to the lowest polymorph of the same formula   0.0000 eV per atom
Magnetization   0.00 μB/cell
Energy of formation   -0.418 eV/atom

---

No. 6
Ho2TiCd: relaxed, GGA-PBE.

Lattice parameters (Å, degrees): 7.365 7.365 7.365 90.00 90.00 90.00
Space group Fm-3m (No. 225)
Unique sites:
Ho1 0.250 0.250 0.250 [8 per cell]
Ti1 0.000 0.000 0.000 [4 per cell]
Cd1 0.000 0.000 0.500 [4 per cell]

Calculated values
Mass density   8.1 g/cm³
Distance to the lowest polymorph of the same formula   0.0868 eV per atom
Magnetization   10.07 μB/cell
Energy of formation   0.041 eV/atom